A plane-wave DFT calculation with PBE-GGA was carried out for crystalline Al3GaRh at its relaxed geometry.

The structure in POSCAR format:
```
Al3GaRh
1.0
4.638 0.000 0.000
0.000 4.638 0.000
0.000 0.000 4.638
Al Ga Rh
3 1 1
direct
0.000 0.000 0.500 Al
0.000 0.500 0.000 Al
0.500 0.000 0.000 Al
0.000 0.000 0.000 Ga
0.500 0.500 0.500 Rh
```

Calculated values
crystal system	cubic
magnetic moment	0.000	μB/f.u.
formation energy from the elements	798	meV per atom
distance to the lowest polymorph of the same formula	939	meV per atom
final energy	-3.52	eV per atom



A plane-wave DFT calculation with PBE-GGA was carried out for crystalline AlGa4Rh at its relaxed geometry.

The structure in POSCAR format:
```
AlGa4Rh
1.0
5.276 0.000 0.000
0.000 6.039 0.000
0.000 0.000 6.452
Al Ga Rh
2 8 2
direct
0.000 0.000 0.000 Al
0.500 0.500 0.000 Al
0.193 0.303 0.745 Ga
0.193 0.697 0.255 Ga
0.276 0.169 0.331 Ga
0.276 0.831 0.669 Ga
0.724 0.169 0.669 Ga
0.724 0.831 0.331 Ga
0.807 0.303 0.255 Ga
0.807 0.697 0.745 Ga
0.500 0.000 0.000 Rh
0.500 0.500 0.500 Rh
```

Calculated values
crystal system	orthorhombic
magnetic moment	0.000	μB/f.u.
formation energy from the elements	-218	meV per atom
final energy	-4.09	eV per atom



A plane-wave DFT calculation with PBE-GGA was carried out for crystalline AlGaRh2 at its relaxed geometry.

The structure in POSCAR format:
```
AlGaRh2
1.0
-3.295 3.295 2.884
3.295 -3.295 2.884
3.295 3.295 -2.884
Al Ga Rh
2 2 4
direct
0.000 0.000 0.000 Al
0.750 0.250 0.500 Al
0.250 0.750 0.500 Ga
0.500 0.500 0.000 Ga
0.122 0.625 0.997 Rh
0.375 0.372 0.497 Rh
0.628 0.125 0.003 Rh
0.875 0.878 0.503 Rh
```

Calculated values
crystal system	tetragonal
magnetic moment	0.000	μB/f.u.
formation energy from the elements	-319	meV per atom
final energy	-5.69	eV per atom



A plane-wave DFT calculation with PBE-GGA was carried out for crystalline AlGaRh4 at its relaxed geometry.

The structure in POSCAR format:
```
AlGaRh4
1.0
4.069 0.000 0.000
0.000 4.069 0.000
0.000 0.000 5.770
Al Ga Rh
1 1 4
direct
0.000 0.000 0.000 Al
0.500 0.500 0.500 Ga
0.000 0.500 0.247 Rh
0.000 0.500 0.753 Rh
0.500 0.000 0.247 Rh
0.500 0.000 0.753 Rh
```

Calculated values
crystal system	tetragonal
magnetic moment	0.000	μB/f.u.
formation energy from the elements	-245	meV per atom
final energy	-6.27	eV per atom